[1]
An optimized crystal structure of La3PrGa. Source: Alexandria, functional GGA-PBE.

Output
* DFT formation energy: -0.2194 eV/atom
* space-group type: No. 2
* E_tot: -4.7371 eV per atom
* excess energy over the best structure of this formula in the dataset: 0.000 eV/atom

a = 3.7623 Å, b = 9.1829 Å, c = 9.8574 Å
α = 103.51°, β = 101.03°, γ = 89.96°
Atoms (fractional coordinates):
La 0.6159 0.9470 0.4908
La 0.2146 0.2776 0.6845
La 0.4152 0.4353 0.0894
La 0.2275 0.7409 0.7125
La 0.4153 0.7893 0.0860
La 0.6031 0.4838 0.4629
Pr 0.8259 0.0769 0.9071
Pr 0.0046 0.1478 0.2682
Ga 0.0307 0.6866 0.3197
Ga 0.7998 0.5380 0.8556

***

[2]
An optimized crystal structure of Pr3Th2NpN6. Source: Alexandria, functional GGA-PBE.

Output
* space-group type: No. 12
* E_tot: -9.0610 eV per atom

a = 6.2950 Å, b = 6.2950 Å, c = 6.3063 Å
α = 99.62°, β = 99.62°, γ = 119.95°
Atoms (fractional coordinates):
Pr 0.1651 0.8349 0.5000
Pr 0.8349 0.1651 0.5000
Pr 0.5000 0.5000 0.5000
Th 0.3335 0.6665 0.0000
Th 0.6665 0.3335 0.0000
Np 0.0000 0.0000 0.0000
N 0.9268 0.6120 0.7807
N 0.7560 0.7560 0.2254
N 0.0732 0.3880 0.2193
N 0.6120 0.9268 0.7807
N 0.2440 0.2440 0.7746
N 0.3880 0.0732 0.2193

***

[3]
An optimized crystal structure of PmHo5Ru4. Source: Alexandria, functional GGA-PBE.

Output
* DFT formation energy: -0.3129 eV/atom
* space-group type: No. 123
* E_tot: -6.7872 eV per atom

a = 3.3983 Å, b = 3.3983 Å, c = 19.1860 Å
α = 90.00°, β = 90.00°, γ = 90.00°
Atoms (fractional coordinates):
Pm 0.0000 0.0000 0.0000
Ho 0.5000 0.5000 0.1499
Ho 0.5000 0.5000 0.3248
Ho 0.5000 0.5000 0.5000
Ho 0.5000 0.5000 0.6752
Ho 0.5000 0.5000 0.8501
Ru 0.0000 0.0000 0.2311
Ru 0.0000 0.0000 0.4116
Ru 0.0000 0.0000 0.5884
Ru 0.0000 0.0000 0.7689

***

[4]
An optimized crystal structure of KTcNi. Source: Alexandria, functional GGA-PBE.

Output
* DFT formation energy: 0.5606 eV/atom
* space-group type: No. 1
* E_tot: -5.1877 eV per atom
* excess energy over the best structure of this formula in the dataset: 0.135 eV/atom

a = 3.0162 Å, b = 4.5873 Å, c = 12.0238 Å
α = 101.71°, β = 86.85°, γ = 70.82°
Atoms (fractional coordinates):
Ni 0.1010 0.8282 0.9542
Ni 0.7960 0.4193 0.9960
K 0.4920 0.1337 0.7544
K 0.7227 0.3899 0.3847
Tc 0.1106 0.7174 0.1612
Tc 0.4169 0.1305 0.1058

***

[5]
An optimized crystal structure of SrIr. Source: Alexandria, functional GGA-PBE.

Output
* DFT formation energy: 0.1449 eV/atom
* space-group type: No. 8
* E_tot: -5.1265 eV per atom

a = 5.8373 Å, b = 5.8373 Å, c = 8.4181 Å
α = 71.48°, β = 71.48°, γ = 31.00°
Atoms (fractional coordinates):
Sr 0.2905 0.2905 0.3550
Sr 0.9912 0.9912 0.5750
Sr 0.2940 0.2940 0.9577
Ir 0.0261 0.0261 0.9868
Ir 0.6613 0.6613 0.7359
Ir 0.5703 0.5703 0.2228

***

[6]
An optimized crystal structure of AsHS2Br. Source: Alexandria, functional GGA-PBE.

Output
* space-group type: No. 11
* E_tot: -3.6931 eV per atom

a = 4.1531 Å, b = 6.5592 Å, c = 10.1315 Å
α = 79.94°, β = 90.00°, γ = 90.00°
Atoms (fractional coordinates):
As 0.2500 0.2905 0.9916
As 0.7500 0.7095 0.0084
H 0.2500 0.3435 0.6120
H 0.7500 0.6565 0.3880
S 0.7500 0.5551 0.5166
S 0.2500 0.4449 0.4834
S 0.7500 0.3757 0.1258
S 0.2500 0.6243 0.8742
Br 0.2500 0.8316 0.1789
Br 0.7500 0.1684 0.8211

***

[7]
An optimized crystal structure of AlBi2Pb2. Source: Alexandria, functional GGA-PBE.

Output
* DFT formation energy: 0.2199 eV/atom
* space-group type: No. 127
* E_tot: -3.5643 eV per atom
* excess energy over the best structure of this formula in the dataset: 0.000 eV/atom

a = 7.6325 Å, b = 7.6325 Å, c = 5.5134 Å
α = 90.00°, β = 90.00°, γ = 90.00°
Atoms (fractional coordinates):
Pb 0.1833 0.6833 0.5000
Pb 0.6833 0.8167 0.5000
Pb 0.8167 0.3167 0.5000
Pb 0.3167 0.1833 0.5000
Bi 0.3518 0.8518 0.0000
Bi 0.8518 0.6482 0.0000
Bi 0.6482 0.1482 0.0000
Bi 0.1482 0.3518 0.0000
Al 0.0000 0.0000 0.0000
Al 0.5000 0.5000 0.0000

***

[8]
An optimized crystal structure of HoMgAlAu. Source: Alexandria, functional GGA-PBE.

Output
* DFT formation energy: -0.5162 eV/atom
* space-group type: No. 216
* E_tot: -3.8143 eV per atom

a = 4.8912 Å, b = 4.8912 Å, c = 4.8912 Å
α = 60.00°, β = 60.00°, γ = 60.00°
Atoms (fractional coordinates):
Mg 0.2500 0.2500 0.2500
Au 0.0000 0.0000 0.0000
Ho 0.7500 0.7500 0.7500
Al 0.5000 0.5000 0.5000

***

Which formula does entry 4 have? KTcNi